[1]
A plane-wave DFT calculation with PBE-GGA was carried out for a relaxed MgNp2Si4Pt3 crystal.

- energy relative to the elements, uncorrected (eV per atom) = -0.638
- M_tot (μB/cell) = 7.5
- volume (Å³ per atom) = 17.92

Cell lengths 4.163, 4.163, 10.337 Å; angles 90.00, 90.00, 90.00 degrees
Element x y z (fractional)
Mg 0.000 0.000 0.000
Np 0.000 0.500 0.744
Np 0.500 0.000 0.256
Si 0.000 0.000 0.500
Si 0.000 0.500 0.149
Si 0.500 0.000 0.851
Si 0.500 0.500 0.500
Pt 0.000 0.500 0.381
Pt 0.500 0.000 0.619
Pt 0.500 0.500 0.000

[2]
A plane-wave DFT calculation with PBE-GGA was carried out for a relaxed MgNpZn2Pt2 crystal.

- M_tot (μB/cell) = 4.1
- energy (eV/atom) = -5.354
- volume (Å³ per atom) = 18.31

Cell lengths 4.416, 4.416, 6.505 Å; angles 90.00, 90.00, 120.00 degrees
Element x y z (fractional)
Mg 0.000 0.000 0.000
Np 0.000 0.000 0.500
Zn 0.333 0.667 0.190
Zn 0.667 0.333 0.810
Pt 0.333 0.667 0.759
Pt 0.667 0.333 0.241

[3]
A plane-wave DFT calculation with PBE-GGA was carried out for a relaxed Rb4MgNp3S8 crystal.

- energy relative to the elements, uncorrected (eV per atom) = -1.346
- M_tot (μB/cell) = 11.0
- volume (Å³ per atom) = 27.55

Cell lengths 8.980, 8.980, 8.980 Å; angles 54.05, 54.05, 54.05 degrees
Element x y z (fractional)
Rb 0.000 0.000 0.000
Rb 0.000 0.500 0.500
Rb 0.500 0.000 0.500
Rb 0.500 0.500 0.000
Mg 0.500 0.500 0.500
Np 0.000 0.000 0.500
Np 0.000 0.500 0.000
Np 0.500 0.000 0.000
S 0.230 0.230 0.230
S 0.232 0.728 0.728
S 0.272 0.272 0.768
S 0.272 0.768 0.272
S 0.728 0.232 0.728
S 0.728 0.728 0.232
S 0.768 0.272 0.272
S 0.770 0.770 0.770

[4]
A plane-wave DFT calculation with PBE-GGA was carried out for a relaxed RbMgNpS4 crystal.

- energy relative to the elements, uncorrected (eV per atom) = -1.153
- M_tot (μB/cell) = 4.0
- volume (Å³ per atom) = 28.24

Cell lengths 6.828, 6.865, 8.567 Å; angles 90.00, 100.11, 90.00 degrees
Element x y z (fractional)
Rb 0.168 0.250 0.071
Rb 0.832 0.750 0.929
Mg 0.377 0.250 0.660
Mg 0.623 0.750 0.340
Np 0.163 0.750 0.457
Np 0.837 0.250 0.543
S 0.119 0.002 0.689
S 0.119 0.498 0.689
S 0.290 0.750 0.188
S 0.478 0.250 0.404
S 0.522 0.750 0.596
S 0.710 0.250 0.812
S 0.881 0.502 0.311
S 0.881 0.998 0.311